# 1
! InAu2, relaxed, DFT PBE; values from VASP
! - formation energy from the elements (eV per atom) = -0.127
! - total magnetic moment (μB/atom) = 0.0000
&SYSTEM
  ibrav = 0, nat = 6, ntyp = 2
/
ATOMIC_SPECIES
Au 196.97 Au.upf
In 114.82 In.upf
CELL_PARAMETERS angstrom
-5.433 1.603 0.555
0.073 -1.372 5.523
3.866 3.591 -2.134
ATOMIC_POSITIONS crystal
Au 0.325 0.175 0.500
Au 0.675 0.825 0.500
Au 0.175 0.675 0.849
Au 0.825 0.325 0.151
In 0.750 0.750 0.000
In 0.250 0.250 0.000

***

# 2
! In2Au17, relaxed, DFT PBE; values from VASP
! - formation energy from the elements (eV per atom) = 0.040
! - total magnetic moment (μB/atom) = 0.0000
&SYSTEM
  ibrav = 0, nat = 19, ntyp = 2
/
ATOMIC_SPECIES
In 114.82 In.upf
Au 196.97 Au.upf
CELL_PARAMETERS angstrom
7.166 -0.530 1.432
1.069 7.105 1.432
-0.664 -0.530 7.277
ATOMIC_POSITIONS crystal
In 0.671 0.671 0.671
In 0.329 0.329 0.329
Au 0.332 0.332 0.828
Au 0.332 0.828 0.332
Au 0.103 0.103 0.103
Au 0.897 0.897 0.897
Au 0.000 0.000 0.500
Au 0.500 0.000 0.000
Au 0.000 0.500 0.000
Au 0.339 0.661 0.000
Au 0.000 0.339 0.661
Au 0.661 0.000 0.339
Au 0.661 0.339 0.000
Au 0.000 0.661 0.339
Au 0.339 0.000 0.661
Au 0.668 0.172 0.668
Au 0.668 0.668 0.172
Au 0.172 0.668 0.668
Au 0.828 0.332 0.332

***

# 3
! In4Au5, relaxed, DFT PBE; values from VASP
! - distance to the lowest polymorph of the same formula (kJ/mol of formula units) = 0.0
! - formation energy from the elements (eV per atom) = -0.099
! - total magnetic moment (μB/atom) = 0.0000
&SYSTEM
  ibrav = 0, nat = 9, ntyp = 2
/
ATOMIC_SPECIES
In 114.82 In.upf
Au 196.97 Au.upf
CELL_PARAMETERS angstrom
3.721 0.026 0.022
1.911 7.269 0.560
1.911 1.512 7.132
ATOMIC_POSITIONS crystal
In 0.346 0.644 0.661
In 0.346 0.995 0.310
In 0.654 0.690 0.005
In 0.654 0.339 0.356
Au 0.000 0.009 0.991
Au 0.000 0.325 0.675
Au 0.000 0.667 0.333
Au 0.320 0.348 0.014
Au 0.680 0.986 0.652

***

# 4
! InAu3, relaxed, DFT PBE; values from VASP
! - formation energy from the elements (eV per atom) = -0.094
! - total magnetic moment (μB/atom) = 0.0000
&SYSTEM
  ibrav = 0, nat = 4, ntyp = 2
/
ATOMIC_SPECIES
Au 196.97 Au.upf
In 114.82 In.upf
CELL_PARAMETERS angstrom
-2.358 1.624 2.329
-2.956 -0.770 -2.072
-0.665 -4.987 2.803
ATOMIC_POSITIONS crystal
Au 0.000 0.000 0.998
Au 0.500 0.500 0.750
Au 0.000 0.000 0.502
In 0.500 0.500 0.250